Entry 1:
First-principles (PBE) data for UHg3Se2Cl6 after structural relaxation, as listed in Alexandria.

```
data_UHg3Se2Cl6
_chemical_formula_sum 'U2 Hg6 Se4 Cl12'
_space_group_name_H-M_alt 'C 1 2/m 1'
_space_group_IT_number 12
_space_group_name_Hall '-C 2y'
_cell_length_a 15.7164
_cell_length_b 7.7179
_cell_length_c 7.0708
_cell_angle_alpha 90.00
_cell_angle_beta 112.26
_cell_angle_gamma 90.00
loop_
_atom_site_label
_atom_site_fract_x
_atom_site_fract_y
_atom_site_fract_z
U1 0.0000 0.0000 0.0000
Hg1 0.0000 0.5000 0.5000
Hg2 0.2500 0.2500 0.5000
Se1 0.1798 0.5000 0.6347
Cl1 0.0833 0.0000 0.3994
Cl2 0.1099 0.2387 0.9781
```

Values from the calculation:
Total energy: -83.33 eV for the cell shown

---

Entry 2:
First-principles (PBE) data for ZnHg2SeCl after structural relaxation, as listed in Alexandria.

```
data_ZnHg2SeCl
_chemical_formula_sum 'Zn1 Hg2 Se1 Cl1'
_space_group_name_H-M_alt 'P 4/m m m'
_space_group_IT_number 123
_space_group_name_Hall '-P 4 2'
_cell_length_a 5.7405
_cell_length_b 5.7405
_cell_length_c 4.6627
_cell_angle_alpha 90.00
_cell_angle_beta 90.00
_cell_angle_gamma 90.00
loop_
_atom_site_label
_atom_site_fract_x
_atom_site_fract_y
_atom_site_fract_z
Zn1 0.0000 0.0000 0.0000
Hg1 0.0000 0.5000 0.5000
Se1 0.5000 0.5000 0.0000
Cl1 0.0000 0.0000 0.5000
```

Values from the calculation:
Total energy: -5.11 eV for the cell shown

---

Entry 3:
First-principles (PBE) data for ZnHgSeCl2 after structural relaxation, as listed in Alexandria.

```
data_ZnHgSeCl2
_chemical_formula_sum 'Zn1 Hg1 Se1 Cl2'
_space_group_name_H-M_alt 'P 4/m m m'
_space_group_IT_number 123
_space_group_name_Hall '-P 4 2'
_cell_length_a 4.6302
_cell_length_b 4.6302
_cell_length_c 5.7192
_cell_angle_alpha 90.00
_cell_angle_beta 90.00
_cell_angle_gamma 90.00
loop_
_atom_site_label
_atom_site_fract_x
_atom_site_fract_y
_atom_site_fract_z
Zn1 0.0000 0.0000 0.0000
Hg1 0.5000 0.5000 0.5000
Se1 0.0000 0.0000 0.5000
Cl1 0.0000 0.5000 0.0000
```

Values from the calculation:
Total energy: -10.15 eV for the cell shown

---

Entry 4:
First-principles (PBE) data for SiHg2Cl after structural relaxation, as listed in Alexandria.

```
data_SiHg2Cl
_chemical_formula_sum 'Si3 Hg6 Cl3'
_space_group_name_H-M_alt 'R -3 m'
_space_group_IT_number 166
_space_group_name_Hall '-R 3 2"'
_cell_length_a 3.9467
_cell_length_b 3.9467
_cell_length_c 21.6117
_cell_angle_alpha 90.00
_cell_angle_beta 90.00
_cell_angle_gamma 120.00
loop_
_atom_site_label
_atom_site_fract_x
_atom_site_fract_y
_atom_site_fract_z
Si1 0.0000 0.0000 0.0000
Hg1 0.0000 0.0000 0.2618
Cl1 0.0000 0.0000 0.5000
```

Values from the calculation:
Total energy: -22.86 eV for the cell shown
Polymorph energy (0 for the lowest one): 59 meV/atom

---

| no. | DOS(E_F) (states/eV per cell) | total magnetic moment (μB/cell) |
| --- | --- | --- |
| 1 | 13.350 | 3.38 |
| 2 | 3.788 | 0.00 |
| 3 | 3.001 | 0.00 |
| 4 | 4.119 | 0.00 |